# Cd2AsIr (PBE, relaxed)
# - theoretical density (g/cm3) = 10.078
# - total DFT energy (no corrections) (eV per cell) = -15.2
# - D(E_F) (states/eV/cell) = 2.19
# - DFT formation energy (eV/atom) = 0.042
data_Cd2AsIr
_chemical_formula_sum 'Cd2 As1 Ir1'
_space_group_name_H-M_alt 'P 1'
_space_group_IT_number 1
_cell_length_a 3.639
_cell_length_b 4.264
_cell_length_c 5.618
_cell_angle_alpha 68.43
_cell_angle_beta 90.00
_cell_angle_gamma 90.00
loop_
_space_group_symop_operation_xyz
'x,y,z'
loop_
_atom_site_label
_atom_site_type_symbol
_atom_site_fract_x
_atom_site_fract_y
_atom_site_fract_z
As1 As 0.500 0.546 0.770
Ir1 Ir 0.000 0.711 0.472
Cd1 Cd 0.000 0.965 0.933
Cd2 Cd 0.500 0.278 0.325